# 1
LiPaInPb (PBE, relaxed); energy = -17.710 eV/cell; energy relative to the elements = 36.7 meV/atom
1.0
-0.882 -0.168 5.139
-4.889 -0.263 1.800
-1.734 -4.398 2.206
Li Pa In Pb
1 1 1 1
Direct
0.250 0.250 0.250
0.750 0.750 0.750
0.000 0.000 0.000
0.500 0.500 0.500



# 2
SrMgSnPt2 (PBE, relaxed); energy = -23.499 eV/cell; energy relative to the elements = -827.5 meV/atom
1.0
4.383 0.000 0.000
0.000 4.383 0.000
-2.191 -2.191 5.912
Pt Sr Sn Mg
2 1 1 1
Direct
0.387 0.387 0.773
0.613 0.613 0.227
0.000 0.000 0.000
0.750 0.250 0.500
0.250 0.750 0.500



# 3
Ga2SnI6 (PBE, relaxed); energy = -23.805 eV/cell; formation energy (no corrections) = -494 meV/atom
1.0
7.023 0.000 3.094
2.830 6.427 3.094
0.008 0.005 9.498
I Sn Ga
6 1 2
Direct
0.450 0.724 0.743
0.913 0.554 0.257
0.277 0.913 0.257
0.554 0.277 0.257
0.724 0.083 0.743
0.083 0.450 0.743
0.667 0.667 0.000
0.285 0.285 0.144
0.382 0.382 0.855



# 4
NaIn4F12 (PBE, relaxed); energy = -76.945 eV/cell; formation energy (no corrections) = -2483 meV/atom
1.0
6.747 -0.022 -2.493
-3.334 5.918 -2.366
-0.056 0.022 7.192
F Na In
12 1 4
Direct
0.700 0.500 0.800
0.944 0.257 0.687
0.300 0.100 0.800
0.186 0.260 0.446
0.186 0.740 0.926
0.429 0.743 0.687
0.700 0.900 0.200
0.814 0.260 0.074
0.300 0.500 0.200
0.056 0.743 0.313
0.571 0.257 0.313
0.814 0.740 0.554
0.000 0.500 0.500
0.500 0.000 0.000
0.000 0.000 0.500
0.000 0.500 0.000
0.500 0.500 0.500



# 5
Pr2YZn4 (PBE, relaxed); energy = -22.191 eV/cell; energy relative to the elements = -153.2 meV/atom
1.0
5.022 0.000 -1.601
-0.510 4.996 -1.601
-0.414 -0.459 7.378
Pr Zn Y
2 4 1
Direct
0.719 0.719 0.437
0.281 0.281 0.563
0.396 0.896 0.792
0.896 0.396 0.792
0.604 0.104 0.208
0.104 0.604 0.208
0.000 0.000 0.000



# 6
NbRhI2 (PBE, relaxed); energy = -18.216 eV/cell; formation energy (no corrections) = 576 meV/atom
1.0
3.511 2.515 2.315
-1.100 4.173 2.321
0.068 0.172 4.897
Nb I Rh
1 2 1
Direct
0.000 0.000 0.000
0.250 0.250 0.250
0.750 0.750 0.750
0.500 0.500 0.500



# 7
NaLiPmGa (PBE, relaxed); energy = -11.493 eV/cell; energy relative to the elements = -120.6 meV/atom
1.0
5.119 0.000 0.000
2.559 4.433 0.000
2.559 1.478 4.179
Na Pm Li Ga
1 1 1 1
Direct
0.500 0.500 0.500
0.000 0.000 0.000
0.750 0.750 0.750
0.250 0.250 0.250



# 8
TaP2Pb (PBE, relaxed); energy = -24.189 eV/cell; energy relative to the elements = 548.0 meV/atom
1.0
5.729 0.017 0.000
3.092 4.823 0.000
-4.411 -2.420 2.741
Ta P Pb
1 2 1
Direct
0.750 0.250 0.500
0.250 0.750 0.500
0.000 0.000 0.000
0.500 0.500 0.000



no.,magnetic moment (Bohr magnetons per cell)
1,0.566
2,0.000
3,0.000
4,0.000
5,0.000
6,0.000
7,0.000
8,0.000